Below is a relaxed NbPt2Au crystal, with properties calculated at the PBE level.

Values from the calculation:
Its excess energy over the best structure of this formula in the dataset is 0.093 eV per atom. The volume is 270 Å³ per cell. Its energy of formation from the pure elements is -303 meV/atom. The calculation puts the raw total energy at -106.561 eV per cell. For the calculated density, the calculation gives 16.7 g/cm³.

Cell lengths 6.4660, 6.4660, 6.4660 Å; angles 90.00, 90.00, 90.00 degrees
Last column: nearest neighbours and their distance in Å.
Space group Fm-3m (No. 225)
Symmetry-distinct sites (fractional):
Nb 0.0000 0.0000 0.0000 x4  8 Pt 2.80
Pt 0.2500 0.2500 0.2500 x8  4 Nb 2.80, 4 Au 2.80
Au 0.0000 0.0000 0.5000 x4  8 Pt 2.80